No. 1
TaMnIn4 | PBE | relaxed

Geometry as CIF:
```
data_TaMnIn4
_chemical_formula_sum 'Ta4 Mn4 In16'
_cell_length_a 8.0818
_cell_length_b 8.0818
_cell_length_c 8.0818
_cell_angle_alpha 90.00
_cell_angle_beta 90.00
_cell_angle_gamma 90.00
_symmetry_space_group_name_H-M 'F -4 3 m'
_symmetry_Int_Tables_number 216
_symmetry_space_group_name_Hall 'F -4 2 3'
loop_
_atom_site_label
_atom_site_type_symbol
_atom_site_fract_x
_atom_site_fract_y
_atom_site_fract_z
Ta1 Ta 0.0000 0.0000 0.0000
Mn1 Mn 0.2500 0.2500 0.2500
In1 In 0.1250 0.1250 0.6250
```

Computed properties:
- Mass density: 8.75 g cm⁻³
- Energy of formation: 0.72 eV/atom

=====

No. 2
Ta3MnIn | PBE | relaxed

Geometry as CIF:
```
data_Ta3MnIn
_chemical_formula_sum 'Ta3 Mn1 In1'
_cell_length_a 4.6272
_cell_length_b 4.6272
_cell_length_c 4.6272
_cell_angle_alpha 90.00
_cell_angle_beta 90.00
_cell_angle_gamma 90.00
_symmetry_space_group_name_H-M 'P m -3 m'
_symmetry_Int_Tables_number 221
_symmetry_space_group_name_Hall '-P 4 2 3'
loop_
_atom_site_label
_atom_site_type_symbol
_atom_site_fract_x
_atom_site_fract_y
_atom_site_fract_z
Ta1 Ta 0.0000 0.0000 0.5000
Mn1 Mn 0.0000 0.0000 0.0000
In1 In 0.5000 0.5000 0.5000
```

Computed properties:
- Mass density: 11.94 g cm⁻³
- Energy of formation: 0.65 eV/atom
- ΔE to the lowest computed polymorph: 0.0 meV per atom

=====

No. 3
TaMnIn | PBE | relaxed

Geometry as CIF:
```
data_TaMnIn
_chemical_formula_sum 'Ta1 Mn1 In1'
_cell_length_a 3.1026
_cell_length_b 3.1026
_cell_length_c 6.4977
_cell_angle_alpha 90.00
_cell_angle_beta 90.00
_cell_angle_gamma 120.00
_symmetry_space_group_name_H-M 'P 3 m 1'
_symmetry_Int_Tables_number 156
loop_
_symmetry_equiv_pos_as_xyz
'x,y,z'
'-y,x-y,z'
'-x+y,-x,z'
'-y,-x,z'
'-x+y,y,z'
'x,x-y,z'
loop_
_atom_site_label
_atom_site_type_symbol
_atom_site_fract_x
_atom_site_fract_y
_atom_site_fract_z
Ta1 Ta 0.0000 0.0000 0.0000
Mn1 Mn 0.3333 0.6667 0.7370
In1 In 0.6667 0.3333 0.3928
```

Computed properties:
- Mass density: 10.75 g cm⁻³
- Energy of formation: 0.32 eV/atom
- ΔE to the lowest computed polymorph: 154.7 meV per atom

=====

No. 4
TaMn4In | PBE | relaxed

Geometry as CIF:
```
data_TaMn4In
_chemical_formula_sum 'Ta4 Mn16 In4'
_cell_length_a 6.8760
_cell_length_b 6.8760
_cell_length_c 6.8760
_cell_angle_alpha 90.00
_cell_angle_beta 90.00
_cell_angle_gamma 90.00
_symmetry_space_group_name_H-M 'F -4 3 m'
_symmetry_Int_Tables_number 216
_symmetry_space_group_name_Hall 'F -4 2 3'
loop_
_atom_site_label
_atom_site_type_symbol
_atom_site_fract_x
_atom_site_fract_y
_atom_site_fract_z
Ta1 Ta 0.0000 0.0000 0.0000
Mn1 Mn 0.1241 0.1241 0.6241
In1 In 0.2500 0.2500 0.2500
```

Computed properties:
- Mass density: 10.53 g cm⁻³
- Energy of formation: 0.01 eV/atom

=====

No. 5
TaMnIn | PBE | relaxed

Geometry as CIF:
```
data_TaMnIn
_chemical_formula_sum 'Ta1 Mn1 In1'
_cell_length_a 4.5316
_cell_length_b 4.5316
_cell_length_c 2.8825
_cell_angle_alpha 90.00
_cell_angle_beta 90.00
_cell_angle_gamma 120.00
_symmetry_space_group_name_H-M 'P 3 m 1'
_symmetry_Int_Tables_number 156
loop_
_symmetry_equiv_pos_as_xyz
'x,y,z'
'-y,x-y,z'
'-x+y,-x,z'
'-y,-x,z'
'-x+y,y,z'
'x,x-y,z'
loop_
_atom_site_label
_atom_site_type_symbol
_atom_site_fract_x
_atom_site_fract_y
_atom_site_fract_z
Ta1 Ta 0.0000 0.0000 0.0000
Mn1 Mn 0.3333 0.6667 0.7313
In1 In 0.6667 0.3333 0.4566
```

Computed properties:
- Mass density: 11.36 g cm⁻³
- Energy of formation: 0.25 eV/atom
- ΔE to the lowest computed polymorph: 91.8 meV per atom

=====

No. 6
TaMn2In2 | PBE | relaxed

Geometry as CIF:
```
data_TaMn2In2
_chemical_formula_sum 'Ta2 Mn4 In4'
_cell_length_a 6.3796
_cell_length_b 6.3796
_cell_length_c 4.2343
_cell_angle_alpha 90.00
_cell_angle_beta 90.00
_cell_angle_gamma 90.00
_symmetry_space_group_name_H-M 'P 4/m b m'
_symmetry_Int_Tables_number 127
_symmetry_space_group_name_Hall '-P 4 2ab'
loop_
_atom_site_label
_atom_site_type_symbol
_atom_site_fract_x
_atom_site_fract_y
_atom_site_fract_z
Ta1 Ta 0.0000 0.0000 0.0000
Mn1 Mn 0.1229 0.3771 0.0000
In1 In 0.1775 0.6775 0.5000
```

Computed properties:
- Mass density: 10.03 g cm⁻³
- Energy of formation: 0.35 eV/atom

=====

No. 7
TaMnIn | PBE | relaxed

Geometry as CIF:
```
data_TaMnIn
_chemical_formula_sum 'Ta4 Mn4 In4'
_cell_length_a 6.1412
_cell_length_b 6.1412
_cell_length_c 6.1412
_cell_angle_alpha 90.00
_cell_angle_beta 90.00
_cell_angle_gamma 90.00
_symmetry_space_group_name_H-M 'F -4 3 m'
_symmetry_Int_Tables_number 216
_symmetry_space_group_name_Hall 'F -4 2 3'
loop_
_atom_site_label
_atom_site_type_symbol
_atom_site_fract_x
_atom_site_fract_y
_atom_site_fract_z
Ta1 Ta 0.0000 0.0000 0.0000
Mn1 Mn 0.2500 0.2500 0.2500
In1 In 0.0000 0.0000 0.5000
```

Computed properties:
- Mass density: 10.06 g cm⁻³
- Energy of formation: 0.54 eV/atom
- ΔE to the lowest computed polymorph: 379.8 meV per atom

=====

No. 8
TaMnIn | PBE | relaxed

Geometry as CIF:
```
data_TaMnIn
_chemical_formula_sum 'Ta4 Mn4 In4'
_cell_length_a 6.3703
_cell_length_b 6.3703
_cell_length_c 6.3703
_cell_angle_alpha 90.00
_cell_angle_beta 90.00
_cell_angle_gamma 90.00
_symmetry_space_group_name_H-M 'F -4 3 m'
_symmetry_Int_Tables_number 216
_symmetry_space_group_name_Hall 'F -4 2 3'
loop_
_atom_site_label
_atom_site_type_symbol
_atom_site_fract_x
_atom_site_fract_y
_atom_site_fract_z
Ta1 Ta 0.0000 0.0000 0.0000
Mn1 Mn 0.2500 0.2500 0.2500
In1 In 0.2500 0.2500 0.7500
```

Computed properties:
- Mass density: 9.01 g cm⁻³
- Energy of formation: 0.99 eV/atom
- ΔE to the lowest computed polymorph: 823.9 meV per atom